# Li2MnHgO4 | Alexandria | GGA+U | relaxed
data_Li2MnHgO4
_chemical_formula_sum 'Li2 Mn1 Hg1 O4'
_cell_length_a 5.623
_cell_length_b 2.947
_cell_length_c 5.782
_cell_angle_alpha 90.00
_cell_angle_beta 113.42
_cell_angle_gamma 90.00
_space_group_name_H-M_alt 'P 1 2/m 1'
_space_group_IT_number 10
loop_
_space_group_symop_operation_xyz
'x,y,z'
'-x,-y,-z'
'-x,y,-z'
'x,-y,z'
loop_
_atom_site_label
_atom_site_fract_x
_atom_site_fract_y
_atom_site_fract_z
_atom_site_occupancy
Li1 0.000 0.000 0.000 1
Li2 0.500 0.500 0.500 1
Mn1 0.000 0.000 0.500 1
Hg1 0.500 0.500 0.000 1
O1 0.028 0.500 0.280 1
O2 0.374 0.000 0.667 1
# VASP energy (eV for the cell shown): -41.412
# ρ (g/cm3): 6.30